Crystalline HoThSn at its relaxed geometry. Source: Alexandria via LeMat-Bulk, functional GGA-PBE.

CIF file:
```
data_HoThSn
_chemical_formula_sum 'Ho4 Th4 Sn4'
_cell_length_a 4.5440
_cell_length_b 4.5440
_cell_length_c 17.3911
_cell_angle_alpha 90.00
_cell_angle_beta 90.00
_cell_angle_gamma 90.00
_space_group_name_H-M_alt 'I 4/m m m'
_space_group_IT_number 139
_space_group_name_Hall '-I 4 2'
loop_
_atom_site_label
_atom_site_fract_x
_atom_site_fract_y
_atom_site_fract_z
Ho1 0.0000 0.0000 0.1753
Th1 0.0000 0.5000 0.0000
Sn1 0.0000 0.0000 0.3557
```

Values from the calculation:
Energy relative to the lowest polymorph listed for this composition ... 0 meV per atom
Calculated total energy ... -0.21434 hartree per atom
Magnetic moment ... 0.00 μB/f.u.
Density ... 9.539 g cm⁻³
Formation energy from the elements ... -0.50 eV per atom